TcAsPb2, optimized geometry, DFT GGA-PBEsol; calculated total energy = -5.372 eV per atom; calculated formation energy = 0.72 eV per atom
1.0
-4.066 1.520 -1.010
-1.813 -3.643 1.817
2.745 3.011 3.311
Pb As Tc
2 1 1
direct
0.000 0.000 0.000
0.750 0.250 0.500
0.250 0.750 0.500
0.500 0.500 0.000

TcAs2Pb, optimized geometry, DFT GGA-PBEsol; calculated total energy = -6.119 eV per atom; calculated formation energy = 0.25 eV per atom
1.0
3.315 0.000 -0.101
0.000 4.202 0.000
-1.484 0.000 5.959
Pb As Tc
1 2 1
direct
0.468 0.000 0.563
0.206 0.000 0.035
0.742 0.500 0.107
0.085 0.500 0.795

Tc2As2Pb, optimized geometry, DFT GGA-PBEsol; calculated total energy = -7.162 eV per atom; calculated formation energy = 0.19 eV per atom
1.0
-3.029 -1.036 -2.146
0.887 -3.712 0.539
-2.339 2.265 5.669
Pb As Tc
1 2 2
direct
0.000 0.000 0.000
0.250 0.750 0.500
0.750 0.250 0.500
0.381 0.381 0.761
0.619 0.619 0.239

TcAs2Pb, optimized geometry, DFT GGA-PBEsol; calculated total energy = -6.367 eV per atom; calculated formation energy = 0.00 eV per atom
1.0
3.196 0.000 0.000
-1.598 4.285 -0.010
0.000 -1.953 6.138
Pb As Tc
1 2 1
direct
0.575 0.150 0.499
0.927 0.855 0.877
0.777 0.555 0.216
0.221 0.441 0.908

TeAsPb2, optimized geometry, DFT GGA-PBEsol; calculated total energy = -4.265 eV per atom; energy above the most stable polymorph in this dataset = 0.0000 eV per atom
1.0
-2.372 -3.362 -1.323
2.324 -0.283 3.613
-6.372 3.768 1.846
Pb As Te
2 1 1
direct
0.740 0.481 0.722
0.260 0.519 0.278
0.000 0.000 0.500
0.500 0.000 0.000

TeAsPb2, optimized geometry, DFT GGA-PBEsol; calculated total energy = -4.123 eV per atom; energy above the most stable polymorph in this dataset = 0.1417 eV per atom
1.0
3.725 0.000 0.000
0.000 5.405 0.000
-1.862 -2.703 5.285
Pb As Te
2 1 1
direct
0.970 0.970 0.940
0.757 0.257 0.513
0.245 0.745 0.491
0.528 0.528 0.055

TeAsPb, optimized geometry, DFT GGA-PBEsol; calculated total energy = -3.958 eV per atom
1.0
3.179 0.000 0.000
0.000 3.179 0.000
-1.589 -1.589 7.821
Pb As Te
1 1 1
direct
0.651 0.651 0.301
0.015 0.015 0.030
0.334 0.334 0.668

TeAsPb3, optimized geometry, DFT GGA-PBEsol; calculated total energy = -3.797 eV per atom
1.0
5.574 0.000 0.000
0.000 5.574 0.000
0.000 0.000 5.574
Pb As Te
3 1 1
direct
0.000 0.500 0.000
0.000 0.000 0.500
0.500 0.000 0.000
0.000 0.000 0.000
0.500 0.500 0.500

TeAs4Pb, optimized geometry, DFT GGA-PBEsol; calculated total energy = -4.371 eV per atom
1.0
5.822 0.000 0.000
2.911 5.042 0.000
2.911 1.681 4.754
Pb As Te
1 4 1
direct
0.750 0.750 0.750
0.361 0.361 0.361
0.361 0.361 0.917
0.917 0.361 0.361
0.361 0.917 0.361
0.000 0.000 0.000

Te2As2Pb, optimized geometry, DFT GGA-PBEsol; calculated total energy = -3.998 eV per atom
1.0
4.182 0.000 0.000
0.000 4.182 0.000
-2.091 -2.091 8.570
Pb As Te
1 2 2
direct
0.000 0.000 0.000
0.432 0.432 0.863
0.568 0.568 0.137
0.250 0.750 0.500
0.750 0.250 0.500

TlAsPb, optimized geometry, DFT GGA-PBEsol; calculated total energy = -3.850 eV per atom; calculated formation energy = 0.06 eV per atom; energy above the most stable polymorph in this dataset = 0.0423 eV per atom
1.0
3.643 0.000 0.000
0.000 3.644 0.000
-1.821 -1.822 6.004
Pb Tl As
1 1 1
direct
0.363 0.363 0.725
0.648 0.648 0.296
0.990 0.990 0.979

TlAsPb, optimized geometry, DFT GGA-PBEsol; calculated total energy = -3.892 eV per atom; calculated formation energy = 0.02 eV per atom; energy above the most stable polymorph in this dataset = 0.0000 eV per atom
1.0
4.208 0.000 0.000
-2.104 3.644 0.000
0.000 0.000 5.575
Pb Tl As
1 1 1
direct
0.333 0.667 0.719
0.667 0.333 0.294
0.000 0.000 0.987

| no. | total moment (μB per cell) |
| --- | --- |
| 1 | 0.0 |
| 2 | 0.0 |
| 3 | 0.0 |
| 4 | 0.0 |
| 5 | 0.0 |
| 6 | 0.0 |
| 7 | 0.0 |
| 8 | 0.0 |
| 9 | 0.0 |
| 10 | 0.0 |
| 11 | 0.0 |
| 12 | 0.0 |